Computed, not measured: a relaxed structure of AcNdAl2Ga2 at the PBE level of DFT.

Structure (CIF):
```
data_AcNdAl2Ga2
_chemical_formula_sum 'Ac1 Nd1 Al2 Ga2'
_symmetry_space_group_name_H-M 'P 1'
_symmetry_Int_Tables_number 1
_symmetry_space_group_name_Hall 'P 1'
_cell_length_a 4.384
_cell_length_b 4.384
_cell_length_c 9.035
_cell_angle_alpha 90.00
_cell_angle_beta 90.00
_cell_angle_gamma 120.00
loop_
_atom_site_label
_atom_site_type_symbol
_atom_site_fract_x
_atom_site_fract_y
_atom_site_fract_z
Ac1 Ac 0.000 0.000 0.000
Nd1 Nd 0.000 0.000 0.500
Al1 Al 0.333 0.667 0.735
Al2 Al 0.667 0.333 0.265
Ga1 Ga 0.333 0.667 0.268
Ga2 Ga 0.667 0.333 0.732
```

Computed properties:
V: 25.1 A^3/atom
Space-group type: No. 164
Formation energy: -0.57 eV/atom
Fermi-level density of states: 3.7 states/eV per cell